Computed, not measured: K2Li14Zr3O14 after structural relaxation at the GGA-PBEsol level of DFT.

Calculated values
Total magnetic moment ... 0.0 μB per formula unit
Energy relative to the elements, uncorrected ... -2328.4 meV per atom
E_tot ... -414.797 eV/cell

CIF file:
```
data_K2Li14Zr3O14
_chemical_formula_sum 'K4 Li28 Zr6 O28'
_cell_length_a 7.255
_cell_length_b 7.768
_cell_length_c 12.416
_cell_angle_alpha 90.00
_cell_angle_beta 90.00
_cell_angle_gamma 90.00
_symmetry_space_group_name_H-M 'I m m m'
_symmetry_Int_Tables_number 71
_symmetry_space_group_name_Hall '-I 2 2'
loop_
_atom_site_label
_atom_site_type_symbol
_atom_site_fract_x
_atom_site_fract_y
_atom_site_fract_z
K1 K 0.242 0.000 0.000
Li1 Li 0.000 0.143 0.229
Li2 Li 0.000 0.154 0.500
Li3 Li 0.228 0.160 0.365
Zr1 Zr 0.000 0.500 0.000
Zr2 Zr 0.000 0.500 0.272
O1 O 0.000 0.291 0.371
O2 O 0.000 0.321 0.128
O3 O 0.213 0.000 0.500
O4 O 0.214 0.000 0.244
```